No. 1
Below is CaNd2In after structural relaxation, with properties calculated at the GGA-PBE level.

CIF file:
```
data_CaNd2In
_cell_length_a 7.9549
_cell_length_b 7.9549
_cell_length_c 7.9549
_cell_angle_alpha 90.00
_cell_angle_beta 90.00
_cell_angle_gamma 90.00
_space_group_name_H-M_alt 'F m -3 m'
_space_group_IT_number 225
_space_group_name_Hall '-F 4 2 3'
loop_
_atom_site_label
_atom_site_type_symbol
_atom_site_fract_x
_atom_site_fract_y
_atom_site_fract_z
_atom_site_occupancy
Ca1 Ca 0.0000 0.0000 0.0000 1
Nd1 Nd 0.2500 0.2500 0.2500 1
In1 In 0.0000 0.0000 0.5000 1
```

Values from the calculation:
Distance to the lowest polymorph of the same formula (meV per atom): 39



No. 2
Below is CaNd6In6 after structural relaxation, with properties calculated at the GGA-PBE level.

CIF file:
```
data_CaNd6In6
_cell_length_a 6.4683
_cell_length_b 6.4683
_cell_length_c 11.0463
_cell_angle_alpha 90.00
_cell_angle_beta 90.00
_cell_angle_gamma 120.00
_space_group_name_H-M_alt 'P 6/m m m'
_space_group_IT_number 191
_space_group_name_Hall '-P 6 2'
loop_
_atom_site_label
_atom_site_type_symbol
_atom_site_fract_x
_atom_site_fract_y
_atom_site_fract_z
_atom_site_occupancy
Ca1 Ca 0.0000 0.0000 0.0000 1
Nd1 Nd 0.0000 0.0000 0.3324 1
Nd2 Nd 0.3333 0.6667 0.0000 1
Nd3 Nd 0.3333 0.6667 0.5000 1
In1 In 0.0000 0.5000 0.2465 1
```

Values from the calculation:
Uncorrected energy (eV/f.u.): -51.48